(1)
Entry from the Alexandria database: a geometry-optimized AgC3N structure (PBE-GGA).

Cell and atoms, written as POSCAR:
```
AgC3N
1.0
3.584 0.000 0.000
0.000 3.584 0.000
0.000 0.000 3.584
Ag C N
1 3 1
Direct
0.000 0.000 0.000
0.000 0.500 0.500
0.500 0.000 0.500
0.500 0.500 0.000
0.500 0.500 0.500
```

## Properties
Crystal system: cubic
ΔE to the lowest computed polymorph, eV/atom: 0.000


(2)
Entry from the Alexandria database: a geometry-optimized Tm6TeC2S3 structure (PBE-GGA).

Cell and atoms, written as POSCAR:
```
Tm6TeC2S3
1.0
8.383 -1.886 0.000
8.383 1.886 0.000
-1.636 0.000 7.683
Tm Te C S
6 1 2 3
Direct
0.026 0.026 0.288
0.321 0.321 0.864
0.323 0.323 0.434
0.677 0.677 0.566
0.679 0.679 0.136
0.974 0.974 0.712
0.500 0.500 0.000
0.172 0.172 0.342
0.828 0.828 0.658
0.161 0.161 0.836
0.500 0.500 0.500
0.839 0.839 0.164
```

## Properties
Crystal system: monoclinic
Electronic total energy, eV per atom: -6.43


| no. | total magnetic moment (Bohr magnetons per cell) |
| --- | --- |
| 1 | 0.0 |
| 2 | 0.0 |